Dy4Co2Bi | GGA-PBE | relaxed

Summary:
- calculated formation energy (eV per atom) = -0.265
- volume (Å³/cell) = 338.4
- space-group type = P1, No. 1

a b c (Å): 6.923 6.954 8.407
angles (deg): 108.24 108.09 104.07
Element x y z (fractional)
Dy: 0.000 0.000 0.000
Dy: 0.001 0.501 0.001
Dy: 0.020 0.193 0.603
Dy: 0.292 0.563 0.416
Dy: 0.417 0.090 0.398
Dy: 0.424 0.021 0.804
Dy: 0.620 0.717 0.197
Dy: 0.876 0.647 0.585
Co: 0.069 0.829 0.398
Co: 0.231 0.696 0.873
Co: 0.358 0.324 0.128
Co: 0.671 0.931 0.602
Bi: 0.536 0.532 0.782
Bi: 0.755 0.252 0.220